This record from Alexandria describes crystalline UCoIrOs at its relaxed geometry. The functional is PBE.

Results
- raw total energy (eV/atom) = -9.97
- DOS at the Fermi energy (states/eV/f.u.) = 2.9
- volume (Å³/cell) = 62

a b c (Å): 3.924 3.929 4.028
angles (deg): 90.00 90.00 90.00
Fractional coordinates of all 4 atoms:
1 Co 0.000 0.000 0.000
2 Os 0.000 0.500 0.500
3 Ir 0.500 0.500 0.000
4 U 0.500 0.000 0.500